[1]
This record from Alexandria via LeMat-Bulk describes a geometry-optimized TlRe2Se structure. The functional is PBE.

Lattice parameters (Å, degrees): 2.8882 2.8882 10.5898 90.00 90.00 116.85
Closest atoms and distances in Å follow each position.
Atoms (fractional coordinates):
Tl 0.0000 0.0000 0.0000  6 Tl 2.89-3.02, 2 Re 3.16
Re 0.0000 0.0000 0.5405  6 Re 2.58-2.89, 2 Se 2.64
Re 0.5000 0.5000 0.7384  6 Re 2.58-2.89
Se 0.5000 0.5000 0.3359  2 Re 2.64, 4 Se 2.89

Properties
size of the total moment	0.0	μB per formula unit
calculated total energy	-7.028	eV per atom
ΔE_f (raw)	2.6	eV/f.u.
E above lowest polymorph	279	meV per atom
space-group type	Cmm2
crystal system	orthorhombic

[2]
This record from Alexandria via LeMat-Bulk describes a geometry-optimized Rb4Pu3PdS8 structure. The functional is PBE.

Lattice parameters (Å, degrees): 8.3341 8.3341 8.9267 117.00 117.00 56.63
Closest atoms and distances in Å follow each position.
Atoms (fractional coordinates):
Rb 0.0000 0.0000 0.0000  2 S 3.09
Rb 0.0000 0.5000 0.0000  6 S 3.26-3.56
Rb 0.5000 0.0000 0.0000  6 S 3.26-3.56
Rb 0.5000 0.5000 0.0000  6 S 3.31-3.50
Pu 0.0000 0.0000 0.5000  6 S 2.77-2.85
Pu 0.0000 0.5000 0.5000  6 S 2.68-2.85
Pu 0.5000 0.0000 0.5000  6 S 2.68-2.85
Pd 0.5000 0.5000 0.5000  4 S 2.49
S 0.2266 0.2266 0.6922  3 Pu 2.75-2.85
S 0.2377 0.2377 0.2881  2 Pu 2.68
S 0.2489 0.7022 0.6699  1 Pd 2.49, 1 Pu 2.77
S 0.2978 0.7511 0.3301  1 Pd 2.49, 1 Pu 2.77
S 0.7022 0.2489 0.6699  1 Pd 2.49, 1 Pu 2.77
S 0.7511 0.2978 0.3301  1 Pd 2.49, 1 Pu 2.77
S 0.7623 0.7623 0.7119  2 Pu 2.68
S 0.7734 0.7734 0.3078  3 Pu 2.75-2.85

Properties
size of the total moment	4.5	μB per formula unit
calculated total energy	-6.579	eV per atom
ΔE_f (raw)	-20.2	eV/f.u.
space-group type	C2/m
crystal system	monoclinic

[3]
This record from Alexandria via LeMat-Bulk describes a geometry-optimized Ac4Hg7Bi6 structure. The functional is PBE.

Lattice parameters (Å, degrees): 8.8071 8.8071 8.8071 109.47 109.47 109.47
Closest atoms and distances in Å follow each position.
Atoms (fractional coordinates):
Ac 0.0000 0.0000 0.5000  6 Hg 3.60, 6 Bi 3.62
Ac 0.0000 0.5000 0.0000  6 Hg 3.60, 6 Bi 3.62
Ac 0.5000 0.0000 0.0000  6 Hg 3.60, 6 Bi 3.62
Ac 0.5000 0.5000 0.5000  6 Hg 3.60, 6 Bi 3.62
Hg 0.0000 0.0000 0.0000  6 Bi 3.00
Hg 0.2500 0.5000 0.7500  4 Bi 3.29, 4 Ac 3.60, 4 Hg 3.60
Hg 0.2500 0.7500 0.5000  4 Bi 3.29, 4 Hg 3.60, 4 Ac 3.60
Hg 0.5000 0.2500 0.7500  4 Bi 3.29, 4 Hg 3.60, 4 Ac 3.60
Hg 0.5000 0.7500 0.2500  4 Bi 3.29, 4 Hg 3.60, 4 Ac 3.60
Hg 0.7500 0.2500 0.5000  4 Bi 3.29, 4 Ac 3.60, 4 Hg 3.60
Hg 0.7500 0.5000 0.2500  4 Bi 3.29, 4 Hg 3.60, 4 Ac 3.60
Bi 0.0000 0.2950 0.2950  5 Hg 3.00-3.29
Bi 0.0000 0.7050 0.7050  5 Hg 3.00-3.29
Bi 0.2950 0.0000 0.2950  5 Hg 3.00-3.29
Bi 0.2950 0.2950 0.0000  5 Hg 3.00-3.29
Bi 0.7050 0.0000 0.7050  5 Hg 3.00-3.29
Bi 0.7050 0.7050 0.0000  5 Hg 3.00-3.29

Properties
size of the total moment	0.0	μB per formula unit
calculated total energy	-2.847	eV per atom
space-group type	Im-3m
crystal system	cubic

Question: Number 3 is which compound?
Answer: Ac4Hg7Bi6

Question: Which of these has the highest calculated total energy?
Answer: Ac4Hg7Bi6

Question: Which formula does entry 1 have?
Answer: TlRe2Se